Density functional theory data (PBE) for a relaxed Sm8Tl5Zn crystal.

Summary:
Formation energy in eV/atom: -0.245
Energy in eV per formula unit: -54.3
M_tot in Bohr magnetons per cell: 0.00

Cell: 8.183 8.183 8.183 Å, 109.64 109.64 109.13°
Fractional coordinates of all 14 atoms:
Sm 0.114 0.228 0.742
Sm 0.122 0.722 0.750
Sm 0.278 0.028 0.400
Sm 0.485 0.371 0.258
Sm 0.628 0.878 0.600
Sm 0.629 0.886 0.114
Sm 0.772 0.515 0.886
Sm 0.972 0.372 0.250
Tl 0.000 0.000 0.000
Tl 0.252 0.623 0.128
Tl 0.377 0.505 0.628
Tl 0.495 0.124 0.872
Tl 0.876 0.748 0.372
Zn 0.750 0.250 0.500